This record from Alexandria describes a relaxed RbV3Co crystal. The functional is GGA-PBE.

Cell: 4.728 4.728 4.728 Å, 90.00 90.00 90.00°
Positions (direct):
Rb (0.000, 0.000, 0.000)
V (0.000, 0.500, 0.500)
V (0.500, 0.000, 0.500)
V (0.500, 0.500, 0.000)
Co (0.500, 0.500, 0.500)

Output
The value obtained for the energy of formation from the pure elements is 1.2181 eV per atom. The value obtained for the density of states at the Fermi level is 4.944 states/eV/f.u. For the energy above the most stable polymorph in this dataset, the calculation gives 0 meV/atom.